# 1
Be3Si: optimized geometry, PBE-GGA.

Properties
The crystal system is orthorhombic. The raw total energy is -3.8105 eV per atom. As for the uncorrected formation energy: 0.340 eV per atom.

Unit cell a=2.4217 b=4.2279 c=3.9394 alpha=90.00 beta=90.00 gamma=90.00
Closest atoms and distances in Å follow each position.
Fractional positions:
Be 0.0000 0.0000 0.0000  8 Be 2.31-2.46, 4 Si 2.53
Be 0.0000 0.5000 0.3194  4 Si 2.30-2.32, 8 Be 2.42-2.54
Be 0.5000 0.0000 0.4989  10 Be 2.31-2.54, 2 Si 2.47
Si 0.5000 0.5000 0.8229  10 Be 2.30-2.53, 2 Si 2.42

# 2
BeSi: optimized geometry, PBE-GGA.

Properties
The crystal system is tetragonal. The raw total energy is -4.0221 eV per atom. As for the uncorrected formation energy: 0.552 eV per atom.

Unit cell a=4.5428 b=4.5428 c=4.9563 alpha=90.00 beta=90.00 gamma=90.00
Closest atoms and distances in Å follow each position.
Fractional positions:
Be 0.1912 0.1912 0.0000  6 Si 2.31-2.48, 1 Be 2.46
Be 0.3088 0.6912 0.5000  6 Si 2.31-2.48, 1 Be 2.46
Be 0.6912 0.3088 0.5000  6 Si 2.31-2.48, 1 Be 2.46
Be 0.8088 0.8088 0.0000  6 Si 2.31-2.48, 1 Be 2.46
Si 0.1960 0.1960 0.5000  6 Be 2.31-2.48, 1 Si 2.52
Si 0.3040 0.6960 0.0000  6 Be 2.31-2.48, 1 Si 2.52
Si 0.6960 0.3040 0.0000  6 Be 2.31-2.48, 1 Si 2.52
Si 0.8040 0.8040 0.5000  6 Be 2.31-2.48, 1 Si 2.52

# 3
Be4Si5: optimized geometry, PBE-GGA.

Properties
The crystal system is hexagonal. The raw total energy is -4.1744 eV per atom. As for the uncorrected formation energy: 0.495 eV per atom.

Unit cell a=6.9298 b=6.9298 c=5.1814 alpha=90.00 beta=90.00 gamma=120.00
Closest atoms and distances in Å follow each position.
Fractional positions:
Be 0.0000 0.0000 0.0000  6 Si 2.55, 8 Be 2.59-2.73
Be 0.0000 0.0000 0.5000  6 Si 2.55, 8 Be 2.59-2.73
Be 0.0000 0.3460 0.2500  3 Si 2.30-2.34
Be 0.0000 0.6540 0.7500  3 Si 2.30-2.34
Be 0.3460 0.0000 0.2500  3 Si 2.30-2.34
Be 0.3460 0.3460 0.7500  3 Si 2.30-2.34
Be 0.6540 0.0000 0.7500  3 Si 2.30-2.34
Be 0.6540 0.6540 0.2500  3 Si 2.30-2.34
Si 0.0000 0.3162 0.7500  5 Be 2.30-2.55
Si 0.0000 0.6838 0.2500  5 Be 2.30-2.55
Si 0.3162 0.0000 0.7500  5 Be 2.30-2.55
Si 0.3162 0.3162 0.2500  5 Be 2.30-2.55
Si 0.3333 0.6667 0.0000  8 Si 2.59-2.70, 6 Be 2.61
Si 0.3333 0.6667 0.5000  8 Si 2.59-2.70, 6 Be 2.61
Si 0.6667 0.3333 0.0000  8 Si 2.59-2.70, 6 Be 2.61
Si 0.6667 0.3333 0.5000  8 Si 2.59-2.70, 6 Be 2.61
Si 0.6838 0.0000 0.2500  5 Be 2.30-2.55
Si 0.6838 0.6838 0.7500  5 Be 2.30-2.55

# 4
Be3Si: optimized geometry, PBE-GGA.

Properties
The crystal system is tetragonal. The raw total energy is -3.8897 eV per atom. As for the uncorrected formation energy: 0.261 eV per atom.

Unit cell a=4.1883 b=4.1883 c=4.1883 alpha=132.20 beta=132.20 gamma=69.91
Closest atoms and distances in Å follow each position.
Fractional positions:
Be 0.0000 0.0000 0.0000  4 Si 2.40, 8 Be 2.41
Be 0.2500 0.7500 0.5000  8 Be 2.40-2.41, 4 Si 2.41
Be 0.7500 0.2500 0.5000  8 Be 2.40-2.41, 4 Si 2.41
Si 0.5000 0.5000 0.0000  12 Be 2.40-2.41

# 5
Be3Si: optimized geometry, PBE-GGA.

Properties
The crystal system is trigonal. The raw total energy is -3.7238 eV per atom. As for the uncorrected formation energy: 0.427 eV per atom.

Unit cell a=4.4617 b=4.4617 c=4.4617 alpha=116.84 beta=116.84 gamma=116.84
Closest atoms and distances in Å follow each position.
Fractional positions:
Be 0.0000 0.5000 0.5000  6 Be 2.34-2.41, 2 Si 2.34
Be 0.5000 0.0000 0.5000  2 Si 2.34, 6 Be 2.34-2.41
Be 0.5000 0.5000 0.0000  6 Be 2.34-2.41, 2 Si 2.34
Si 0.0000 0.0000 0.0000  6 Be 2.34, 2 Si 2.41

# 6
Be3Si: optimized geometry, PBE-GGA.

Properties
The crystal system is cubic. The raw total energy is -3.8881 eV per atom. As for the uncorrected formation energy: 0.262 eV per atom.

Unit cell a=3.4038 b=3.4038 c=3.4038 alpha=90.00 beta=90.00 gamma=90.00
Closest atoms and distances in Å follow each position.
Fractional positions:
Be 0.0000 0.0000 0.5000  8 Be 2.41, 4 Si 2.41
Be 0.0000 0.5000 0.0000  8 Be 2.41, 4 Si 2.41
Be 0.5000 0.0000 0.0000  8 Be 2.41, 4 Si 2.41
Si 0.5000 0.5000 0.5000  12 Be 2.41

# 7
BeSi: optimized geometry, PBE-GGA.

Properties
The crystal system is orthorhombic. The raw total energy is -4.2400 eV per atom. As for the uncorrected formation energy: 0.335 eV per atom.

Unit cell a=5.6650 b=5.6650 c=5.6650 alpha=140.48 beta=58.37 gamma=138.85
Closest atoms and distances in Å follow each position.
Fractional positions:
Be 0.0000 0.0000 0.0000  4 Be 2.27-2.34, 4 Si 2.34-2.38
Be 0.3723 0.4892 0.8831  3 Be 2.27-2.34, 6 Si 2.30-2.38
Be 0.6061 0.4892 0.1169  3 Be 2.27-2.34, 6 Si 2.30-2.38
Si 0.2409 0.0000 0.2410  5 Be 2.30-2.38
Si 0.6609 0.1609 0.5000  6 Be 2.34
Si 0.7590 0.0000 0.7590  5 Be 2.30-2.38

# 8
BeSi: optimized geometry, PBE-GGA.

Properties
The crystal system is trigonal. The raw total energy is -4.2158 eV per atom. As for the uncorrected formation energy: 0.359 eV per atom.

Unit cell a=4.0418 b=4.0418 c=4.0418 alpha=38.49 beta=38.49 gamma=38.49
Closest atoms and distances in Å follow each position.
Fractional positions:
Be 0.0000 0.0000 0.0000  6 Si 2.42, 6 Be 2.66
Si 0.5000 0.5000 0.5000  6 Be 2.42, 6 Si 2.66

Question: Which formula does entry 8 have?
Answer: BeSi

Question: Among the records above, which one has the highest raw total energy?
Answer: number 5